(1)
The following is a GGA-PBE calculation of a relaxed Cs2LaBCl6 crystal, from Alexandria via LeMat-Bulk.

## Properties
total DFT energy (no corrections)	-39.0	eV/cell
symmetry	Fm-3m (225)

Cell: 7.7227 7.7227 7.7272 Å, 60.02 60.02 90.00°
Atoms (fractional coordinates):
1 La 0.0000 0.0000 0.0000
2 Cl 0.2545 0.7455 0.0000
3 Cs 0.7500 0.2500 0.5000
4 Cl 0.2545 0.2545 0.0000
5 Cl 0.7455 0.7455 0.0000
6 B 0.5000 0.5000 0.0000
7 Cl 0.7458 0.7458 0.5083
8 Cl 0.2542 0.2542 0.4917
9 Cs 0.2500 0.7500 0.5000
10 Cl 0.7455 0.2545 0.0000

***

(2)
The following is a GGA-PBE calculation of a relaxed Cs2LiBCl6 crystal, from Alexandria via LeMat-Bulk.

## Properties
total DFT energy (no corrections)	-33.9	eV/cell
symmetry	I4/mmm (139)

Cell: 7.6541 7.6541 7.2484 Å, 58.13 58.13 90.00°
Atoms (fractional coordinates):
1 Cl 0.8266 0.8266 0.3467
2 Cs 0.7500 0.2500 0.5000
3 B 0.0000 0.0000 0.0000
4 Cl 0.7325 0.2675 0.0000
5 Cl 0.2675 0.2675 0.0000
6 Li 0.5000 0.5000 0.0000
7 Cl 0.1734 0.1734 0.6533
8 Cl 0.2675 0.7325 0.0000
9 Cl 0.7325 0.7325 0.0000
10 Cs 0.2500 0.7500 0.5000

***

(3)
The following is a GGA-PBE calculation of a relaxed CsLiB2Cl8 crystal, from Alexandria via LeMat-Bulk.

## Properties
total DFT energy (no corrections)	-46.2	eV/cell
symmetry	R-3 (148)

Cell: 6.1468 6.1468 10.2915 Å, 72.62 72.62 60.00°
Atoms (fractional coordinates):
1 Cl 0.4306 0.7281 0.8342
2 Cl 0.2719 0.9930 0.1658
3 Cl 0.9930 0.5694 0.1658
4 Li 0.0000 0.0000 0.0000
5 Cl 0.7281 0.0070 0.8342
6 Cl 0.1933 0.1933 0.4201
7 Cs 0.5000 0.5000 0.5000
8 Cl 0.5694 0.2719 0.1658
9 B 0.2580 0.2580 0.2261
10 Cl 0.8067 0.8067 0.5799
11 B 0.7420 0.7420 0.7739
12 Cl 0.0070 0.4306 0.8342

***

(4)
The following is a GGA-PBE calculation of a relaxed CsMnB2Cl8 crystal, from Alexandria via LeMat-Bulk.

## Properties
total DFT energy (no corrections)	-49.4	eV/cell
symmetry	R-3 (148)

Cell: 6.1005 6.1005 10.1821 Å, 72.57 72.57 60.00°
Last column: magnetic moment on the atom in μB.
Atoms (fractional coordinates):
1 Cl 0.2680 0.9932 0.1606  0.01
2 B 0.7407 0.7407 0.7780  -0.01
3 Cl 0.1940 0.1940 0.4179  0.00
4 Cl 0.4218 0.7320 0.8394  0.01
5 Cs 0.5000 0.5000 0.5000  0.00
6 Cl 0.9932 0.5782 0.1606  0.01
7 Mn 0.0000 0.0000 0.0000  3.73
8 Cl 0.5782 0.2680 0.1606  0.01
9 Cl 0.0068 0.4218 0.8394  0.01
10 Cl 0.8060 0.8060 0.5821  0.00
11 B 0.2593 0.2593 0.2220  -0.01
12 Cl 0.7320 0.0068 0.8394  0.01

***

(5)
The following is a GGA-PBE calculation of a relaxed Cs2BMoCl6 crystal, from Alexandria via LeMat-Bulk.

## Properties
total DFT energy (no corrections)	-38.9	eV/cell
symmetry	Fm-3m (225)

Cell: 7.3159 7.3159 7.3154 Å, 60.00 60.00 90.00°
Last column: magnetic moment on the atom in μB.
Atoms (fractional coordinates):
1 Cs 0.2500 0.7500 0.5000  0.00
2 Cl 0.7598 0.7598 0.4805  0.02
3 Mo 0.0000 0.0000 0.0000  2.46
4 Cl 0.2402 0.7598 0.0000  0.02
5 Cs 0.7500 0.2500 0.5000  0.00
6 Cl 0.7598 0.2402 0.0000  0.02
7 B 0.5000 0.5000 0.0000  -0.01
8 Cl 0.2402 0.2402 0.0000  0.02
9 Cl 0.2402 0.2402 0.5195  0.02
10 Cl 0.7598 0.7598 0.0000  0.02

***

(6)
The following is a GGA-PBE calculation of a relaxed CsNaB2Cl8 crystal, from Alexandria via LeMat-Bulk.

## Properties
total DFT energy (no corrections)	-45.9	eV/cell
symmetry	P-3 (147)

Cell: 6.2496 6.2496 10.0059 Å, 90.00 90.00 120.00°
Atoms (fractional coordinates):
1 Cl 0.6667 0.3333 0.0722
2 Cl 0.6130 0.6601 0.6815
3 Cs 0.0000 0.0000 0.0000
4 Na 0.0000 0.0000 0.5000
5 Cl 0.6601 0.0472 0.3185
6 Cl 0.3870 0.3399 0.3185
7 B 0.6667 0.3333 0.2592
8 B 0.3333 0.6667 0.7408
9 Cl 0.3399 0.9528 0.6815
10 Cl 0.9528 0.6130 0.3185
11 Cl 0.0472 0.3870 0.6815
12 Cl 0.3333 0.6667 0.9278

***

(7)
The following is a GGA-PBE calculation of a relaxed CsNiB2Cl8 crystal, from Alexandria via LeMat-Bulk.

## Properties
total DFT energy (no corrections)	-46.0	eV/cell
symmetry	R-3 (148)

Cell: 6.0181 6.0181 10.2370 Å, 72.91 72.91 60.00°
Last column: magnetic moment on the atom in μB.
Atoms (fractional coordinates):
1 Cs 0.5000 0.5000 0.5000  0.00
2 B 0.2615 0.2615 0.2154  0.00
3 Cl 0.4146 0.7364 0.8435  0.01
4 Cl 0.5854 0.2636 0.1565  0.01
5 B 0.7385 0.7385 0.7846  0.00
6 Cl 0.8035 0.8035 0.5894  0.00
7 Ni 0.0000 0.0000 0.0000  0.91
8 Cl 0.9945 0.5854 0.1565  0.01
9 Cl 0.2636 0.9945 0.1565  0.01
10 Cl 0.7364 0.0055 0.8435  0.01
11 Cl 0.1965 0.1965 0.4106  0.00
12 Cl 0.0055 0.4146 0.8435  0.01

***

(8)
The following is a GGA-PBE calculation of a relaxed Cs2NiBCl6 crystal, from Alexandria via LeMat-Bulk.

## Properties
total DFT energy (no corrections)	-34.3	eV/cell
symmetry	I4/mmm (139)

Cell: 7.1001 7.1001 7.5087 Å, 61.78 61.78 90.00°
Last column: magnetic moment on the atom in μB.
Atoms (fractional coordinates):
1 Cl 0.8056 0.8056 0.3888  0.00
2 Cl 0.6996 0.3004 0.0000  0.01
3 Cl 0.3004 0.6996 0.0000  0.01
4 Cl 0.6996 0.6996 0.0000  0.01
5 Cl 0.3004 0.3004 0.0000  0.01
6 B 0.5000 0.5000 0.0000  -0.01
7 Cs 0.7500 0.2500 0.5000  0.00
8 Cs 0.2500 0.7500 0.5000  0.00
9 Cl 0.1944 0.1944 0.6112  0.00
10 Ni 0.0000 0.0000 0.0000  0.91

***

(9)
The following is a GGA-PBE calculation of a relaxed CsRb2BCl6 crystal, from Alexandria via LeMat-Bulk.

## Properties
total DFT energy (no corrections)	-32.4	eV/cell
symmetry	I4/mmm (139)

Cell: 7.4918 7.4918 7.6981 Å, 60.88 60.88 90.00°
Atoms (fractional coordinates):
1 Cl 0.2896 0.2896 0.4208
2 Rb 0.7500 0.2500 0.5000
3 Cl 0.3032 0.6968 0.0000
4 B 0.5000 0.5000 0.0000
5 Cs 0.0000 0.0000 0.0000
6 Cl 0.6968 0.3032 0.0000
7 Cl 0.7104 0.7104 0.5792
8 Cl 0.6968 0.6968 0.0000
9 Cl 0.3032 0.3032 0.0000
10 Rb 0.2500 0.7500 0.5000

***

(10)
The following is a GGA-PBE calculation of a relaxed CsRbZr6BCl15 crystal, from Alexandria via LeMat-Bulk.

## Properties
total DFT energy (no corrections)	-524.8	eV/cell
symmetry	Pmma (51)

Cell: 10.0510 14.3548 19.2111 Å, 90.00 90.00 90.00°
Atoms (fractional coordinates):
1 Zr 0.6622 0.1152 0.1640
2 Cl 0.4070 0.8742 0.3448
3 Zr 0.1543 0.3850 0.9702
4 Rb 0.8298 0.7480 0.7500
5 Cl 0.3303 0.7495 0.9340
6 Cl 0.0000 0.2486 0.0000
7 Cl 0.9193 0.8742 0.3434
8 Zr 0.9179 0.5000 0.8877
9 Cl 0.7420 0.3729 0.5931
10 Cs 0.3676 0.5000 0.7500
11 Cl 0.6610 0.5000 0.0650
12 Cl 0.4070 0.8742 0.1552
13 Cl 0.7420 0.6271 0.9069
14 Cl 0.2580 0.3729 0.0931
15 Zr 0.1543 0.6150 0.9702
16 Cl 0.4070 0.1258 0.1552
17 B 0.3389 0.0000 0.7500
18 Cl 0.0807 0.1258 0.6566
19 Zr 0.3378 0.8848 0.8360
20 Zr 0.5673 0.0000 0.7500
21 Zr 0.1543 0.6150 0.5298
22 Cl 0.6697 0.7495 0.4340
23 Cl 0.5930 0.8742 0.6552
24 Cl 0.3437 0.7480 0.7500
25 Zr 0.3378 0.1152 0.8360
26 Cl 0.5930 0.8742 0.8448
27 Rb 0.8298 0.2520 0.7500
28 Zr 0.1543 0.3850 0.5298
29 Cl 0.9193 0.1258 0.1566
30 Cl 0.3303 0.2505 0.9340
31 Cl 0.3369 0.0000 0.5613
32 Cl 0.7420 0.6271 0.5931
33 Zr 0.3378 0.1152 0.6640
34 Cl 0.0807 0.8742 0.8434
35 Cl 0.6631 0.0000 0.4387
36 Cl 0.6697 0.2505 0.4340
37 Cl 0.0000 0.7514 0.0000
38 Cl 0.3303 0.7495 0.5660
39 Cl 0.3437 0.2520 0.7500
40 Cl 0.3303 0.2505 0.5660
41 Cs 0.0000 0.0000 0.0000
42 Cl 0.3390 0.5000 0.5650
43 Cl 0.6563 0.7480 0.2500
44 Cl 0.0000 0.7514 0.5000
45 Zr 0.9179 0.5000 0.6123
46 Cl 0.0799 0.6237 0.6582
47 Zr 0.0821 0.5000 0.1123
48 Cl 0.6563 0.2520 0.2500
49 Cs 0.0000 0.0000 0.5000
50 Cl 0.2580 0.3729 0.4069
51 Cl 0.1841 0.5000 0.2500
52 Cl 0.8159 0.5000 0.7500
53 Zr 0.8457 0.3850 0.0298
54 Cl 0.7420 0.3729 0.9069
55 Cl 0.6697 0.2505 0.0660
56 Cl 0.0807 0.1258 0.8434
57 Cl 0.4070 0.1258 0.3448
58 Cl 0.0807 0.8742 0.6566
59 Zr 0.8457 0.3850 0.4702
60 Cl 0.9201 0.6237 0.3418
61 Cl 0.0799 0.6237 0.8418
62 Cl 0.6631 0.0000 0.0613
63 Zr 0.6622 0.8848 0.1640
64 B 0.0000 0.5000 0.5000
65 Zr 0.8906 0.0000 0.2500
66 Cl 0.9193 0.1258 0.3434
67 Cl 0.9201 0.6237 0.1582
68 Cl 0.0799 0.3763 0.6582
69 Zr 0.8457 0.6150 0.0298
70 Zr 0.4327 0.0000 0.2500
71 Cl 0.0000 0.2486 0.5000
72 Cl 0.1618 0.0000 0.2500
73 Cs 0.6324 0.5000 0.2500
74 Cl 0.6697 0.7495 0.0660
75 Zr 0.8457 0.6150 0.4702
76 B 0.6611 0.0000 0.2500
77 Rb 0.1702 0.7480 0.2500
78 B 0.0000 0.5000 0.0000
79 Cl 0.8382 0.0000 0.7500
80 Zr 0.3378 0.8848 0.6640
81 Cl 0.9193 0.8742 0.1566
82 Zr 0.6622 0.1152 0.3360
83 Zr 0.1094 0.0000 0.7500
84 Cl 0.9201 0.3763 0.3418
85 Cl 0.9201 0.3763 0.1582
86 Cl 0.5930 0.1258 0.6552
87 Zr 0.6622 0.8848 0.3360
88 Zr 0.0821 0.5000 0.3877
89 Cl 0.2580 0.6271 0.4069
90 Cl 0.5930 0.1258 0.8448
91 Cl 0.0799 0.3763 0.8418
92 Cl 0.2580 0.6271 0.0931
93 Cl 0.6610 0.5000 0.4350
94 Cl 0.3369 0.0000 0.9387
95 Rb 0.1702 0.2520 0.2500
96 Cl 0.3390 0.5000 0.9350

***

(11)
The following is a GGA-PBE calculation of a relaxed Cs2BRuCl6 crystal, from Alexandria via LeMat-Bulk.

## Properties
total DFT energy (no corrections)	-35.8	eV/cell
symmetry	I4/mmm (139)

Cell: 6.9420 6.9420 7.4148 Å, 62.09 62.09 90.00°
Last column: magnetic moment on the atom in μB.
Atoms (fractional coordinates):
1 Cl 0.2475 0.7525 0.0000  0.02
2 Cl 0.7847 0.7847 0.4306  0.02
3 Cl 0.2475 0.2475 0.0000  0.01
4 Cs 0.2500 0.7500 0.5000  0.00
5 Cl 0.7525 0.2475 0.0000  0.02
6 Cl 0.7525 0.7525 0.0000  0.01
7 Cl 0.2153 0.2153 0.5694  0.02
8 B 0.5000 0.5000 0.0000  -0.02
9 Cs 0.7500 0.2500 0.5000  0.00
10 Ru 0.0000 0.0000 0.0000  0.81

***

(12)
The following is a GGA-PBE calculation of a relaxed CsBS2Cl crystal, from Alexandria via LeMat-Bulk.

## Properties
ΔE to the lowest computed polymorph	1.600	eV per atom
total DFT energy (no corrections)	-9.4	eV/cell
symmetry	P4/mmm (123)

Cell: 5.5560 5.5560 6.3716 Å, 90.00 90.00 90.00°
Last column: magnetic moment on the atom in μB.
Atoms (fractional coordinates):
1 Cl 0.0000 0.0000 0.5000  0.09
2 Cs 0.0000 0.0000 0.0000  -0.01
3 B 0.5000 0.5000 0.5000  -0.04
4 S 0.0000 0.5000 0.0000  0.31
5 S 0.5000 0.0000 0.0000  0.31